Computed, not measured: ZnCrO4 after structural relaxation at the PBE+U level of DFT. Values from VASP.

Quantum ESPRESSO input file:
```
&SYSTEM
  ibrav = 0, nat = 24, ntyp = 3
/
ATOMIC_SPECIES
Zn 65.41 Zn.upf
Cr 52.00 Cr.upf
O 16.00 O.upf
CELL_PARAMETERS angstrom
9.167 0.000 0.000
0.000 5.380 -0.118
0.000 4.395 7.947
ATOMIC_POSITIONS crystal
Zn 0.899 0.905 0.758
Zn 0.399 0.095 0.742
Zn 0.601 0.905 0.258
Zn 0.101 0.095 0.242
Cr 0.694 0.311 0.847
Cr 0.194 0.689 0.653
Cr 0.806 0.311 0.347
Cr 0.306 0.689 0.153
O 0.396 0.797 0.975
O 0.840 0.109 0.877
O 0.084 0.712 0.794
O 0.743 0.645 0.778
O 0.243 0.355 0.722
O 0.584 0.288 0.706
O 0.340 0.891 0.623
O 0.104 0.797 0.475
O 0.896 0.203 0.525
O 0.660 0.109 0.377
O 0.416 0.712 0.294
O 0.757 0.645 0.278
O 0.257 0.355 0.222
O 0.916 0.288 0.206
O 0.160 0.891 0.123
O 0.604 0.203 0.025
```

Results
DOS(E_F): 0.00 states/eV/f.u.
calculated total energy: -6.008 eV per atom